The following is a DFT calculation (GGA+U) of KVO2 after structural relaxation.

Results
M_tot = 8.0 μB per cell
energy = -101.00 eV/cell

a = 7.8852 Å, b = 8.6262 Å, c = 5.5245 Å
α = 90.00°, β = 126.02°, γ = 90.00°
Space group C2/c (No. 15)
Inequivalent atoms, fractional coordinates:
K1 0.0000 0.1321 0.2500
V1 0.0000 0.4734 0.7500
O1 0.1753 0.4136 0.1723